Compound: YHgN2
Source: the Alexandria database
Functional: PBE-GGA
Structure: relaxed

Lattice parameters (Å, degrees): 6.760 6.760 6.760 136.79 136.79 62.76
Element x y z (fractional)
Y: 0.000 0.000 0.000
Y: 0.750 0.250 0.500
Hg: 0.250 0.750 0.500
Hg: 0.500 0.500 0.000
N: 0.120 0.625 0.995
N: 0.375 0.370 0.495
N: 0.630 0.125 0.005
N: 0.875 0.880 0.505

Output
Raw total energy ... -46.1 eV for the cell shown
Formation energy without anion corrections ... 98 meV/atom